[1]
Entry from the Alexandria database: a relaxed TaIn3Ir crystal (PBE).

abc: 5.061 5.061 5.061
angles: 90.00 90.00 90.00
Fractional positions:
In: 0.000 0.500 0.000
In: 0.500 0.000 0.000
In: 0.000 0.000 0.500
Ir: 0.000 0.000 0.000
Ta: 0.500 0.500 0.500

crystal system: cubic
space group: Pm-3m, No. 221
total moment: 0.0 Bohr magnetons per cell
E_form: 962 meV/atom

***

[2]
Entry from the Alexandria database: a relaxed Ta2InIr crystal (PBE).

abc: 4.686 2.906 5.203
angles: 85.41 90.00 90.00
Fractional positions:
Ir: 0.500 0.629 0.787
In: 0.000 0.623 0.475
Ta: 0.000 0.048 0.968
Ta: 0.500 0.199 0.270

crystal system: monoclinic
space group: Pm, No. 6
total moment: 0.0 Bohr magnetons per cell
E_form: -66 meV/atom

***

| no. | E (eV per atom) |
| --- | --- |
| 1 | -4.8238 |
| 2 | -8.8919 |